#A
Crystalline CaSCl2O at its relaxed geometry. Source: Alexandria, functional GGA-PBE.

Values from the calculation:
ρ = 2882 kg/m3
space-group type = P4/mmm (123)
D(E_F) = 1.0 states/eV/f.u.

abc: 4.6114 4.6114 4.3087
angles: 90.00 90.00 90.00
With the nearest neighbours (Å) after each atom.
Atoms (fractional coordinates):
Ca1 0.0000 0.0000 0.0000  8 Cl 3.16, 4 S 3.26
S1 0.5000 0.5000 0.0000  2 O 2.15
Cl1 0.0000 0.5000 0.5000  2 O 2.31
Cl2 0.5000 0.0000 0.5000  2 O 2.31
O1 0.5000 0.5000 0.5000  2 S 2.15, 4 Cl 2.31

***

#B
Crystalline CaSCl2O at its relaxed geometry. Source: Alexandria, functional GGA-PBE.

Values from the calculation:
ρ = 1586 kg/m3
space-group type = P4/mmm (123)
D(E_F) = 3.5 states/eV/f.u.

abc: 5.3369 5.3369 5.8452
angles: 90.00 90.00 90.00
With the nearest neighbours (Å) after each atom.
Atoms (fractional coordinates):
Ca1 0.0000 0.0000 0.0000  4 Cl 2.67, 2 S 2.92
S1 0.0000 0.0000 0.5000  2 Ca 2.92
Cl1 0.0000 0.5000 0.0000  2 Ca 2.67
Cl2 0.5000 0.0000 0.0000  2 Ca 2.67
O1 0.5000 0.5000 0.5000  4 S 3.77, 8 Cl 3.96

***

#A is the most stable structure; the next one sits 357 meV per atom above it.

***

#A
Crystalline CaS2ClO at its relaxed geometry. Source: Alexandria, functional GGA-PBE.

Values from the calculation:
ρ = 2827 kg/m3
space-group type = P4/mmm (123)
D(E_F) = 2.3 states/eV/f.u.

abc: 3.9779 3.9779 5.7775
angles: 90.00 90.00 90.00
With the nearest neighbours (Å) after each atom.
Atoms (fractional coordinates):
Ca1 0.0000 0.0000 0.0000  4 Cl 2.81
S1 0.0000 0.5000 0.5000  2 O 1.99
S2 0.5000 0.0000 0.5000  2 O 1.99
Cl1 0.5000 0.5000 0.0000  4 Ca 2.81, 2 O 2.89
O1 0.5000 0.5000 0.5000  4 S 1.99

***

#B
Crystalline CaS2ClO at its relaxed geometry. Source: Alexandria, functional GGA-PBE.

Values from the calculation:
ρ = 1556 kg/m3
space-group type = P4/mmm (123)
D(E_F) = 3.5 states/eV/f.u.

abc: 5.5978 5.5978 5.3013
angles: 90.00 90.00 90.00
With the nearest neighbours (Å) after each atom.
Atoms (fractional coordinates):
Ca1 0.0000 0.0000 0.0000  2 Cl 2.65, 4 S 2.80
S1 0.0000 0.5000 0.0000  2 Ca 2.80
S2 0.5000 0.0000 0.0000  2 Ca 2.80
Cl1 0.0000 0.0000 0.5000  2 Ca 2.65
O1 0.5000 0.5000 0.5000  8 S 3.85, 4 Cl 3.96

***

#A is the most stable structure; the next one sits 893 meV per atom above it.